1.
Below is Sm8TmSc3 after structural relaxation, with properties calculated at the PBE-GGA level.

Calculated values
**E_form**: 779 kJ/mol of formula units
**Size of the total moment**: 0.00 μB/f.u.
**ρ**: 5.71 Mg/m³

The structure in CIF format:
```
data_Sm8TmSc3
_chemical_formula_sum 'Sm16 Tm2 Sc6'
_space_group_name_H-M_alt 'I 4/m m m'
_space_group_IT_number 139
_space_group_name_Hall '-I 4 2'
_cell_length_a 7.5800
_cell_length_b 7.5800
_cell_length_c 15.2429
_cell_angle_alpha 90.00
_cell_angle_beta 90.00
_cell_angle_gamma 90.00
loop_
_atom_site_label
_atom_site_type_symbol
_atom_site_fract_x
_atom_site_fract_y
_atom_site_fract_z
Sm1 Sm 0.2464 0.2464 0.1278
Tm1 Tm 0.0000 0.0000 0.5000
Sc1 Sc 0.0000 0.0000 0.0000
Sc2 Sc 0.0000 0.5000 0.2500
```

=====

2.
Below is Sm3Tm3Sc after structural relaxation, with properties calculated at the PBE-GGA level.

Calculated values
**E_form**: 98 kJ/mol of formula units
**Size of the total moment**: 0.00 μB/f.u.
**ρ**: 7.40 Mg/m³

The structure in CIF format:
```
data_Sm3Tm3Sc
_chemical_formula_sum 'Sm18 Tm18 Sc6'
_space_group_name_H-M_alt 'R -3'
_space_group_IT_number 148
_space_group_name_Hall '-R 3'
_cell_length_a 6.1407
_cell_length_b 6.1407
_cell_length_c 41.3263
_cell_angle_alpha 90.00
_cell_angle_beta 90.00
_cell_angle_gamma 120.00
loop_
_atom_site_label
_atom_site_type_symbol
_atom_site_fract_x
_atom_site_fract_y
_atom_site_fract_z
Sm1 Sm 0.9997 0.3333 0.1028
Tm1 Tm 0.0000 0.3324 0.6329
Sc1 Sc 0.0000 0.0000 0.1667
```

=====

What did the first record say?
Below is Sm8TmSc3 after structural relaxation, with properties calculated at the PBE-GGA level.

Calculated values
**E_form**: 779 kJ/mol of formula units
**Size of the total moment**: 0.00 μB/f.u.
**ρ**: 5.71 Mg/m³

The structure in CIF format:
```
data_Sm8TmSc3
_chemical_formula_sum 'Sm16 Tm2 Sc6'
_space_group_name_H-M_alt 'I 4/m m m'
_space_group_IT_number 139
_space_group_name_Hall '-I 4 2'
_cell_length_a 7.5800
_cell_length_b 7.5800
_cell_length_c 15.2429
_cell_angle_alpha 90.00
_cell_angle_beta 90.00
_cell_angle_gamma 90.00
loop_
_atom_site_label
_atom_site_type_symbol
_atom_site_fract_x
_atom_site_fract_y
_atom_site_fract_z
Sm1 Sm 0.2464 0.2464 0.1278
Tm1 Tm 0.0000 0.0000 0.5000
Sc1 Sc 0.0000 0.0000 0.0000
Sc2 Sc 0.0000 0.5000 0.2500
```

=====

What did the first record say?
Below is Sm8TmSc3 after structural relaxation, with properties calculated at the PBE-GGA level.

Calculated values
**E_form**: 779 kJ/mol of formula units
**Size of the total moment**: 0.00 μB/f.u.
**ρ**: 5.71 Mg/m³

The structure in CIF format:
```
data_Sm8TmSc3
_chemical_formula_sum 'Sm16 Tm2 Sc6'
_space_group_name_H-M_alt 'I 4/m m m'
_space_group_IT_number 139
_space_group_name_Hall '-I 4 2'
_cell_length_a 7.5800
_cell_length_b 7.5800
_cell_length_c 15.2429
_cell_angle_alpha 90.00
_cell_angle_beta 90.00
_cell_angle_gamma 90.00
loop_
_atom_site_label
_atom_site_type_symbol
_atom_site_fract_x
_atom_site_fract_y
_atom_site_fract_z
Sm1 Sm 0.2464 0.2464 0.1278
Tm1 Tm 0.0000 0.0000 0.5000
Sc1 Sc 0.0000 0.0000 0.0000
Sc2 Sc 0.0000 0.5000 0.2500
```

=====

> Among the records above, which one has the lowest E_form?

Sm3Tm3Sc